## LiMn2PIr (GGA-PBE)

Data for crystalline LiMn2PIr at its relaxed geometry.

Cell lengths 4.7783, 4.7783, 4.4440 Å; angles 90.00, 90.00, 90.00 degrees
Closest atoms and distances in Å follow each position.
Atoms (fractional coordinates):
Li  0.0000  0.0000  0.0000  2 Ir 2.22
Mn  0.0000  0.5000  0.5000  2 Ir 2.39
Mn  0.5000  0.0000  0.5000  2 Ir 2.39
P  0.5000  0.5000  0.0000  8 Mn 3.26, 4 Li 3.38
Ir  0.0000  0.0000  0.5000  2 Li 2.22, 4 Mn 2.39

## Properties
Space group   P4/mmm (123)
Raw total energy   -6.0453 eV per atom
Fermi-level density of states   3.62 states/eV/f.u.
Magnetic moment   8.66 μB/cell


## Pm4Tl3Rh (GGA-PBE)

Data for crystalline Pm4Tl3Rh at its relaxed geometry.

Cell lengths 3.9701, 4.9081, 11.7223 Å; angles 90.00, 90.00, 90.00 degrees
Closest atoms and distances in Å follow each position.
Atoms (fractional coordinates):
Pm  0.0000  0.0000  0.0000  2 Rh 3.02, 4 Tl 3.18
Pm  0.0000  0.5000  0.2511  3 Tl 3.20-3.24, 4 Rh 3.23
Pm  0.5000  0.0000  0.4352  1 Rh 2.83
Pm  0.5000  0.5000  0.7615  7 Tl 3.18-3.41
Tl  0.0000  0.0000  0.6996  2 Tl 3.20, 5 Pm 3.24-3.52
Tl  0.0000  0.5000  0.5245  2 Tl 3.20, 7 Pm 3.20-3.41
Tl  0.5000  0.5000  0.0330  2 Rh 3.09, 7 Pm 3.18-3.24
Rh  0.5000  0.0000  0.1939  3 Pm 2.83-3.02, 2 Tl 3.09

## Properties
Space group   Pmm2 (25)
Raw total energy   -4.5939 eV per atom
Fermi-level density of states   7.92 states/eV/f.u.
Magnetic moment   0.00 μB/cell


## Sc2Ge2Pt (GGA-PBE)

Data for crystalline Sc2Ge2Pt at its relaxed geometry.

Cell lengths 3.9561, 5.6487, 8.2367 Å; angles 90.00, 90.00, 90.00 degrees
Closest atoms and distances in Å follow each position.
Atoms (fractional coordinates):
Sc  0.0000  0.0000  0.2098  6 Ge 2.85-2.92, 2 Pt 3.10
Sc  0.0000  0.0000  0.7902  6 Ge 2.85-2.92, 2 Pt 3.10
Sc  0.5000  0.5000  0.2902  6 Ge 2.85-2.92, 2 Pt 3.10
Sc  0.5000  0.5000  0.7098  6 Ge 2.85-2.92, 2 Pt 3.10
Ge  0.0000  0.2755  0.5000  2 Pt 2.52, 1 Ge 2.54
Ge  0.0000  0.7245  0.5000  2 Pt 2.52, 1 Ge 2.54
Ge  0.5000  0.2245  0.0000  2 Pt 2.52, 1 Ge 2.54
Ge  0.5000  0.7755  0.0000  2 Pt 2.52, 1 Ge 2.54
Pt  0.0000  0.5000  0.0000  4 Ge 2.52
Pt  0.5000  0.0000  0.5000  4 Ge 2.52

## Properties
Space group   Immm (71)
Raw total energy   -6.4608 eV per atom
Fermi-level density of states   3.13 states/eV/f.u.
Magnetic moment   0.00 μB/cell


## In2FeMo (GGA-PBE)

Data for crystalline In2FeMo at its relaxed geometry.

Cell lengths 3.6426, 4.4448, 8.6361 Å; angles 90.00, 90.00, 90.00 degrees
Closest atoms and distances in Å follow each position.
Atoms (fractional coordinates):
In  0.0000  0.0000  0.2356  4 Fe 2.73-3.01, 4 In 2.87, 2 Mo 2.92
In  0.0000  0.0000  0.7644  4 Fe 2.73-3.01, 4 In 2.87, 2 Mo 2.92
In  0.5000  0.5000  0.2356  4 Fe 2.73-3.01, 4 In 2.87, 2 Mo 2.92
In  0.5000  0.5000  0.7644  4 Fe 2.73-3.01, 4 In 2.87, 2 Mo 2.92
Fe  0.0000  0.5000  0.0000  8 In 2.73-3.01, 4 Fe 2.87
Fe  0.5000  0.0000  0.0000  8 In 2.73-3.01, 4 Fe 2.87
Mo  0.0000  0.5000  0.5000  4 Mo 2.87, 8 In 2.92-3.19
Mo  0.5000  0.0000  0.5000  4 Mo 2.87, 8 In 2.92-3.19

## Properties
Space group   Cmmm (65)
Raw total energy   -5.7868 eV per atom
Fermi-level density of states   2.68 states/eV/f.u.
Magnetic moment   3.95 μB/cell


## YFeCl2 (GGA-PBE)

Data for crystalline YFeCl2 at its relaxed geometry.

Cell lengths 3.5830, 3.4318, 8.2074 Å; angles 90.00, 102.29, 90.00 degrees
Closest atoms and distances in Å follow each position.
Atoms (fractional coordinates):
Y  0.0000  0.0000  0.0000  3 Cl 2.64-2.80
Fe  0.6091  0.5000  0.2276  4 Cl 2.66-2.68
Cl  0.1733  0.0000  0.3497  4 Fe 2.66-2.68, 1 Y 2.80
Cl  0.8776  0.5000  0.7491  2 Y 2.64

## Properties
Space group   Pm (6)
Raw total energy   -5.4771 eV per atom
Uncorrected formation energy   -0.82 eV per atom
Fermi-level density of states   1.79 states/eV/f.u.
Magnetic moment   3.00 μB/cell


## NbH2Br5 (GGA-PBE)

Data for crystalline NbH2Br5 at its relaxed geometry.

Cell lengths 7.0571, 7.2738, 7.3580 Å; angles 61.38, 62.87, 61.82 degrees
Closest atoms and distances in Å follow each position.
Atoms (fractional coordinates):
Nb  0.0000  0.0000  0.0000  4 Br 2.43-2.57
H  0.5098  0.9952  0.9615  1 Br 1.57
H  0.5425  0.5071  0.5059  2 H 3.65-3.89, 7 Br 3.78-3.94
Br  0.0339  0.9907  0.6553  1 Nb 2.47
Br  0.0654  0.6576  0.3034  1 Nb 2.43
Br  0.4569  0.9227  0.8248  1 H 1.57
Br  0.5709  0.0909  0.1287  1 H 1.94
Br  0.9637  0.3493  0.0073  1 Nb 2.46

## Properties
Space group   P1 (1)
Raw total energy   -3.4173 eV per atom
Fermi-level density of states   4.00 states/eV/f.u.
Magnetic moment   2.00 μB/cell


## PrEr5Te4 (GGA-PBE)

Data for crystalline PrEr5Te4 at its relaxed geometry.

Cell lengths 9.3936, 9.3936, 8.5524 Å; angles 103.44, 103.44, 25.67 degrees
Closest atoms and distances in Å follow each position.
Atoms (fractional coordinates):
Pr  0.0000  0.0000  0.0000  6 Te 3.08-3.09
Er  0.0000  0.0000  0.5000  4 Te 2.94
Er  0.3067  0.3067  0.6452  3 Te 3.12-3.19
Er  0.3417  0.3417  0.2176  4 Te 3.05-3.16
Er  0.6583  0.6583  0.7824  4 Te 3.05-3.16
Er  0.6933  0.6933  0.3548  3 Te 3.12-3.19
Te  0.1734  0.1734  0.0658  5 Er 3.05-3.19, 1 Pr 3.09
Te  0.4820  0.4820  0.7292  4 Er 2.94-3.15, 2 Pr 3.08
Te  0.5180  0.5180  0.2708  4 Er 2.94-3.15, 2 Pr 3.08
Te  0.8266  0.8266  0.9342  5 Er 3.05-3.19, 1 Pr 3.09

## Properties
Space group   C2/m (12)
Raw total energy   -4.8783 eV per atom
Uncorrected formation energy   -0.86 eV per atom
Fermi-level density of states   8.49 states/eV/f.u.
Magnetic moment   0.00 μB/cell


## NiOsRu2 (GGA-PBE)

Data for crystalline NiOsRu2 at its relaxed geometry.

Cell lengths 3.7554, 3.7554, 7.5947 Å; angles 90.00, 90.00, 90.00 degrees
Closest atoms and distances in Å follow each position.
Atoms (fractional coordinates):
Ni  0.0000  0.0000  0.0000  4 Os 2.66, 8 Ru 2.67
Ni  0.5000  0.5000  0.5000  4 Os 2.66, 8 Ru 2.67
Os  0.0000  0.0000  0.5000  4 Ni 2.66, 8 Ru 2.67
Os  0.5000  0.5000  0.0000  4 Ni 2.66, 8 Ru 2.67
Ru  0.0000  0.5000  0.2500  4 Ru 2.66, 4 Ni 2.67, 4 Os 2.67
Ru  0.0000  0.5000  0.7500  4 Ru 2.66, 4 Ni 2.67, 4 Os 2.67
Ru  0.5000  0.0000  0.2500  4 Ru 2.66, 4 Ni 2.67, 4 Os 2.67
Ru  0.5000  0.0000  0.7500  4 Ru 2.66, 4 Ni 2.67, 4 Os 2.67

## Properties
Space group   I4/mmm (139)
Raw total energy   -8.7268 eV per atom
Fermi-level density of states   6.37 states/eV/f.u.
Magnetic moment   0.00 μB/cell


## Ge2BiN2 (GGA-PBE)

Data for crystalline Ge2BiN2 at its relaxed geometry.

Cell lengths 7.4820, 7.4820, 3.2305 Å; angles 90.00, 90.00, 90.00 degrees
Closest atoms and distances in Å follow each position.
Atoms (fractional coordinates):
Ge  0.1132  0.3868  0.0000  2 N 1.88
Ge  0.3868  0.8868  0.0000  2 N 1.88
Ge  0.6132  0.1132  0.0000  2 N 1.88
Ge  0.8868  0.6132  0.0000  2 N 1.88
Bi  0.0000  0.0000  0.5000  4 N 2.69
Bi  0.5000  0.5000  0.5000  4 N 2.69
N  0.2050  0.2950  0.5000  2 Ge 1.88
N  0.2950  0.7950  0.5000  2 Ge 1.88
N  0.7050  0.2050  0.5000  2 Ge 1.88
N  0.7950  0.7050  0.5000  2 Ge 1.88

## Properties
Space group   P4/mbm (127)
Raw total energy   -5.3243 eV per atom
Uncorrected formation energy   0.63 eV per atom
Fermi-level density of states   1.86 states/eV/f.u.
Magnetic moment   0.00 μB/cell


## TbY2Co (GGA-PBE)

Data for crystalline TbY2Co at its relaxed geometry.

Cell lengths 3.4094, 3.4094, 8.8960 Å; angles 90.00, 90.00, 90.00 degrees
Closest atoms and distances in Å follow each position.
Atoms (fractional coordinates):
Tb  0.0000  0.0000  0.0000  4 Tb 3.41, 8 Y 3.71
Y  0.5000  0.5000  0.3168  4 Co 2.91
Y  0.5000  0.5000  0.6832  4 Co 2.91
Co  0.0000  0.0000  0.5000  8 Y 2.91

## Properties
Space group   P4/mmm (123)
Raw total energy   -6.2021 eV per atom
Fermi-level density of states   4.22 states/eV/f.u.
Magnetic moment   0.81 μB/cell


## Tb5Te4P (GGA-PBE)

Data for crystalline Tb5Te4P at its relaxed geometry.

Cell lengths 16.0166, 16.0166, 16.0166 Å; angles 164.77, 164.77, 21.60 degrees
Closest atoms and distances in Å follow each position.
Atoms (fractional coordinates):
Tb  0.0000  0.0000  0.0000  4 P 3.00, 2 Te 3.22
Tb  0.2110  0.2110  0.0000  6 Te 3.07-3.42
Tb  0.4150  0.4150  0.0000  1 P 2.68
Tb  0.5850  0.5850  0.0000  1 P 2.68
Tb  0.7890  0.7890  0.0000  6 Te 3.07-3.42
Te  0.1025  0.1025  0.0000  6 Tb 3.05-3.42
Te  0.3097  0.3097  0.0000  6 Tb 3.07-3.31
Te  0.6903  0.6903  0.0000  6 Tb 3.07-3.31
Te  0.8975  0.8975  0.0000  6 Tb 3.05-3.42
P  0.5000  0.5000  0.0000  2 Tb 2.68

## Properties
Space group   I4/mmm (139)
Raw total energy   -5.5123 eV per atom
Uncorrected formation energy   -1.40 eV per atom
Fermi-level density of states   4.43 states/eV/f.u.
Magnetic moment   0.00 μB/cell


## SiAgOs3 (GGA-PBE)

Data for crystalline SiAgOs3 at its relaxed geometry.

Cell lengths 4.4118, 4.4118, 4.4118 Å; angles 90.00, 90.00, 90.00 degrees
Closest atoms and distances in Å follow each position.
Atoms (fractional coordinates):
Si  0.0000  0.0000  0.0000  6 Os 2.21
Ag  0.5000  0.5000  0.5000  12 Os 3.12
Os  0.0000  0.0000  0.5000  2 Si 2.21
Os  0.0000  0.5000  0.0000  2 Si 2.21
Os  0.5000  0.0000  0.0000  2 Si 2.21

## Properties
Space group   Pm-3m (221)
Raw total energy   -7.0828 eV per atom
Uncorrected formation energy   1.31 eV per atom
Fermi-level density of states   4.46 states/eV/f.u.
Magnetic moment   1.62 μB/cell


Q: Which value of Fermi-level density of states does entry 4 give?
A: 2.68 states/eV/f.u.